# 1
{"formula": "ScIr", "functional": "PBE", "state": "optimized geometry", "formation_enthalpy_0k_ev_per_atom": 0.360, "space_group": "No. 223", "energy_ev_per_atom": -7.236, "cell": [[7.247, 0.000, 0.000], [0.000, 7.247, 0.000], [0.000, 0.000, 7.247]], "species": ["Sc", "Sc", "Sc", "Sc", "Sc", "Sc", "Ir", "Ir", "Ir", "Ir", "Ir", "Ir"], "frac_coords": [[0.000, 0.250, 0.500], [0.000, 0.750, 0.500], [0.250, 0.500, 0.000], [0.500, 0.000, 0.250], [0.500, 0.000, 0.750], [0.750, 0.500, 0.000], [0.000, 0.500, 0.250], [0.000, 0.500, 0.750], [0.250, 0.000, 0.500], [0.500, 0.250, 0.000], [0.500, 0.750, 0.000], [0.750, 0.000, 0.500]]}


# 2
{"formula": "NdSm2Dy", "functional": "PBE", "state": "optimized geometry", "formation_enthalpy_0k_ev_per_atom": 0.016, "space_group": "No. 160", "energy_ev_per_atom": -4.686, "n_ef_per_ev_fu": 5.87, "cell": [[3.634, 0.000, 0.000], [-1.817, 3.147, 0.000], [0.000, 0.000, 35.275]], "species": ["Nd", "Nd", "Nd", "Sm", "Sm", "Sm", "Sm", "Sm", "Sm", "Dy", "Dy", "Dy"], "frac_coords": [[0.000, 0.000, 0.000], [0.333, 0.667, 0.667], [0.667, 0.333, 0.333], [0.000, 0.000, 0.582], [0.000, 0.000, 0.751], [0.333, 0.667, 0.249], [0.333, 0.667, 0.418], [0.667, 0.333, 0.085], [0.667, 0.333, 0.915], [0.000, 0.000, 0.167], [0.333, 0.667, 0.833], [0.667, 0.333, 0.500]]}


# 3
{"formula": "NdHoSn", "functional": "PBE", "state": "optimized geometry", "formation_enthalpy_0k_ev_per_atom": -0.597, "space_group": "No. 63", "energy_ev_per_atom": -5.046, "n_ef_per_ev_fu": 2.06, "cell": [[4.632, 0.000, 0.000], [0.000, 11.844, 0.000], [0.000, 0.000, 6.720]], "species": ["Nd", "Nd", "Nd", "Nd", "Ho", "Ho", "Ho", "Ho", "Sn", "Sn", "Sn", "Sn"], "frac_coords": [[0.000, 0.198, 0.250], [0.000, 0.802, 0.750], [0.500, 0.302, 0.750], [0.500, 0.698, 0.250], [0.000, 0.500, 0.000], [0.000, 0.500, 0.500], [0.500, 0.000, 0.000], [0.500, 0.000, 0.500], [0.000, 0.114, 0.750], [0.000, 0.886, 0.250], [0.500, 0.386, 0.250], [0.500, 0.614, 0.750]]}


# 4
{"formula": "PrZrGa", "functional": "PBE", "state": "optimized geometry", "formation_enthalpy_0k_ev_per_atom": -0.148, "space_group": "No. 156", "energy_ev_per_atom": -5.600, "n_ef_per_ev_fu": 1.71, "cell": [[4.752, 0.000, 0.000], [-2.376, 4.116, 0.000], [0.000, 0.000, 4.013]], "species": ["Pr", "Zr", "Ga"], "frac_coords": [[0.000, 0.000, 0.000], [0.333, 0.667, 0.499], [0.667, 0.333, 0.502]]}


# 5
{"formula": "TlIn3Pb", "functional": "PBE", "state": "optimized geometry", "formation_enthalpy_0k_ev_per_atom": 0.022, "space_group": "No. 12", "energy_ev_per_atom": -2.836, "n_ef_per_ev_fu": 2.05, "cell": [[5.206, -2.564, 0.000], [5.206, 2.564, 0.000], [-1.011, 0.000, 10.840]], "species": ["Tl", "Tl", "In", "In", "In", "In", "In", "In", "Pb", "Pb"], "frac_coords": [[0.052, 0.052, 0.154], [0.948, 0.948, 0.846], [0.150, 0.150, 0.456], [0.250, 0.250, 0.750], [0.351, 0.351, 0.045], [0.649, 0.649, 0.955], [0.750, 0.750, 0.250], [0.850, 0.850, 0.544], [0.447, 0.447, 0.349], [0.553, 0.553, 0.651]]}


# 6
{"formula": "CeZnGaCu6", "functional": "PBE", "state": "optimized geometry", "formation_enthalpy_0k_ev_per_atom": 0.155, "space_group": "No. 74", "energy_ev_per_atom": -3.713, "n_ef_per_ev_fu": 8.85, "cell": [[-3.411, 4.405, 4.888], [3.411, -4.405, 4.888], [3.411, 4.405, -4.888]], "species": ["Ce", "Ce", "Zn", "Zn", "Ga", "Ga", "Cu", "Cu", "Cu", "Cu", "Cu", "Cu", "Cu", "Cu", "Cu", "Cu", "Cu", "Cu"], "frac_coords": [[0.469, 0.219, 0.250], [0.531, 0.781, 0.750], [0.000, 0.000, 0.500], [0.000, 0.500, 0.000], [0.000, 0.000, 0.000], [0.500, 0.000, 0.500], [0.120, 0.443, 0.311], [0.120, 0.809, 0.677], [0.170, 0.920, 0.250], [0.224, 0.474, 0.750], [0.368, 0.191, 0.811], [0.368, 0.557, 0.177], [0.632, 0.443, 0.823], [0.632, 0.809, 0.189], [0.776, 0.526, 0.250], [0.830, 0.080, 0.750], [0.880, 0.191, 0.323], [0.880, 0.557, 0.689]]}